1.
K2MgIn12Ni3, optimized geometry, DFT PBE; ΔE_f = 0.55 eV/f.u.; N(E_F) = 6.6 states/eV/cell; volume = 30.47 A^3/atom; crystal system = trigonal; space-group type = No. 166
1.0
-5.592 -1.316 -6.594
-0.229 -8.352 -2.583
-7.290 -4.100 2.557
K In Ni Mg
2 12 3 1
Cartesian
-7.770 -8.159 -3.924
-5.341 -5.608 -2.697
-7.213 -4.610 -6.095
-9.388 -4.581 -3.135
-5.258 -3.804 0.359
-7.853 -9.964 -6.979
-8.317 -6.421 -0.142
-4.794 -7.347 -6.479
-4.438 -2.459 -4.062
-11.265 -7.910 -4.496
-3.724 -9.187 -3.485
-8.673 -11.309 -2.558
-1.847 -5.858 -2.125
-5.899 -9.158 -0.526
-0.114 -4.176 -1.292
-3.645 -2.050 1.278
-2.796 -0.658 -3.297
0.000 0.000 0.000

=====

2.
KMgIn2Os, optimized geometry, DFT PBE; ΔE_f = 0.21 eV/f.u.; N(E_F) = 1.3 states/eV/cell; volume = 28.36 A^3/atom; crystal system = tetragonal; space-group type = No. 123
1.0
5.240 0.000 0.000
0.000 5.240 0.000
0.000 0.000 5.164
K In Os Mg
1 2 1 1
Cartesian
2.620 2.620 2.582
0.000 2.620 0.000
2.620 0.000 0.000
0.000 0.000 0.000
0.000 0.000 2.582

=====

3.
KMg2InPb2, optimized geometry, DFT PBE; ΔE_f = 0.26 eV/f.u.; N(E_F) = 3.9 states/eV/cell; volume = 31.82 A^3/atom; crystal system = orthorhombic; space-group type = No. 58
1.0
5.436 0.000 0.000
0.000 8.238 0.000
0.000 0.000 8.529
Mg K Pb In
4 2 4 2
Cartesian
2.718 1.402 2.702
2.718 6.836 5.827
0.000 2.717 6.966
0.000 5.520 1.562
0.000 0.000 4.264
2.718 4.119 0.000
0.000 5.794 6.749
2.718 1.676 6.044
0.000 2.443 1.780
2.718 6.562 2.484
0.000 0.000 0.000
2.718 4.119 4.264

=====

4.
KMg2InPb4, optimized geometry, DFT PBE; ΔE_f = -0.11 eV/f.u.; N(E_F) = 4.5 states/eV/cell; volume = 30.78 A^3/atom; crystal system = trigonal; space-group type = No. 166
1.0
5.393 0.000 0.000
2.697 4.671 0.000
2.697 1.557 9.776
In Pb K Mg
1 4 1 2
Cartesian
5.393 3.114 4.888
5.393 3.114 1.853
5.393 3.114 7.923
2.697 1.557 6.020
8.090 4.671 3.756
0.000 0.000 0.000
2.697 1.557 2.630
8.090 4.671 7.146

=====

5.
KMgIn2Pb, optimized geometry, DFT PBE; ΔE_f = -0.58 eV/f.u.; N(E_F) = 1.6 states/eV/cell; volume = 31.45 A^3/atom; crystal system = orthorhombic; space-group type = No. 44
1.0
4.924 0.000 0.000
0.000 4.886 0.000
-2.462 -2.443 6.537
In Mg Pb K
2 1 1 1
Cartesian
0.000 0.000 0.762
2.462 0.000 2.438
0.000 2.443 2.545
2.462 2.443 4.317
0.000 0.000 5.786

=====

6.
KMgInPb2, optimized geometry, DFT PBE; ΔE_f = -0.54 eV/f.u.; N(E_F) = 1.9 states/eV/cell; volume = 32.75 A^3/atom; crystal system = tetragonal; space-group type = No. 119
1.0
4.829 0.000 0.000
0.000 4.829 0.000
-2.415 -2.415 7.021
In K Mg Pb
1 1 1 2
Cartesian
2.415 0.000 3.510
0.000 0.000 0.000
0.000 2.415 3.510
0.000 0.000 5.415
2.415 2.415 1.606

=====

Which formula does entry 6 have? KMgInPb2